An optimized crystal structure of Ho2Er3Pd2, computed with PBE.

Unit cell a=3.684 b=10.019 c=6.545 alpha=55.29 beta=73.68 gamma=89.99
Fractional positions:
1 Ho 0.612 0.375 0.775
2 Ho 0.388 0.625 0.225
3 Er 0.156 0.711 0.688
4 Er 0.844 0.289 0.312
5 Er 0.000 0.000 0.000
6 Pd 0.360 0.073 0.280
7 Pd 0.640 0.927 0.720

Values from the calculation:
The calculation puts the formation energy at -0.41 eV/atom. The calculation puts the magnetization at 0.0001 μB/atom. The calculation puts the density of states at the Fermi level at 8.3 states/eV/cell. The symmetry is C2/m (12).